NdMn4Cu3O12, relaxed, DFT GGA-PBEsol; SG = Im-3; uncorrected formation energy = -1617 meV per atom; magnetic moment = 9.6 μB per cell
1.0
-3.606 3.606 3.606
3.606 -3.606 3.606
3.606 3.606 -3.606
Nd Mn Cu O
1 4 3 12
Direct
0.000 0.000 0.000
0.000 0.000 0.500
0.000 0.500 0.000
0.500 0.000 0.000
0.500 0.500 0.500
0.000 0.500 0.500
0.500 0.000 0.500
0.500 0.500 0.000
0.122 0.301 0.821
0.179 0.481 0.301
0.179 0.878 0.699
0.301 0.179 0.481
0.301 0.821 0.122
0.481 0.301 0.179
0.519 0.699 0.821
0.699 0.179 0.878
0.699 0.821 0.519
0.821 0.122 0.301
0.821 0.519 0.699
0.878 0.699 0.179


AgGeBiC2, relaxed, DFT GGA-PBEsol; SG = P4/mmm; magnetic moment = 0.7 μB per cell; energy relative to the elements = 2.2844 eV per atom
1.0
4.090 0.000 0.000
0.000 4.090 0.000
0.000 0.000 5.697
Ag Ge Bi C
1 1 1 2
Direct
0.000 0.000 0.000
0.500 0.500 0.500
0.000 0.000 0.500
0.000 0.500 0.000
0.500 0.000 0.000


AlZnTe, relaxed, DFT GGA-PBEsol; SG = F-43m; uncorrected formation energy = 231 meV per atom; magnetic moment = 0.0 μB per cell
1.0
0.000 3.293 3.293
3.293 0.000 3.293
3.293 3.293 0.000
Al Zn Te
1 1 1
Direct
0.000 0.000 0.000
0.750 0.750 0.750
0.250 0.250 0.250


CoTeO4, relaxed, DFT GGA-PBEsol; SG = P2_1/c; uncorrected formation energy = -906 meV per atom; magnetic moment = 2.3 μB per cell
1.0
5.445 0.000 0.000
0.000 4.651 0.000
-2.162 0.000 5.114
Co Te O
2 2 8
Direct
0.000 0.000 0.000
0.000 0.500 0.500
0.500 0.000 0.500
0.500 0.500 0.000
0.145 0.207 0.333
0.145 0.293 0.833
0.337 0.680 0.638
0.337 0.820 0.138
0.663 0.180 0.862
0.663 0.320 0.362
0.855 0.707 0.167
0.855 0.793 0.667


Li2LaZr, relaxed, DFT GGA-PBEsol; SG = I-42d; magnetic moment = 0.0 μB per cell; energy relative to the elements = 0.5106 eV per atom
1.0
-4.002 4.002 2.889
4.002 -4.002 2.889
4.002 4.002 -2.889
Li La Zr
4 2 2
Direct
0.112 0.125 0.487
0.375 0.888 0.013
0.638 0.625 0.513
0.875 0.362 0.987
0.250 0.750 0.500
0.500 0.500 0.000
0.000 0.000 0.000
0.750 0.250 0.500


Hf2Ru2F, relaxed, DFT GGA-PBEsol; SG = I4/mmm; uncorrected formation energy = -28 meV per atom; magnetic moment = 0.1 μB per cell
1.0
-2.496 2.496 3.579
2.496 -2.496 3.579
2.496 2.496 -3.579
Hf Ru F
2 2 1
Direct
0.250 0.750 0.500
0.750 0.250 0.500
0.171 0.171 0.000
0.829 0.829 0.000
0.500 0.500 0.000


NdZn2, relaxed, DFT GGA-PBEsol; SG = Imma; magnetic moment = 0.0 μB per cell; energy relative to the elements = -0.3635 eV per atom
1.0
-2.266 3.680 3.637
2.266 -3.680 3.637
2.266 3.680 -3.637
Nd Zn
2 4
Direct
0.298 0.048 0.250
0.702 0.952 0.750
0.101 0.664 0.437
0.273 0.336 0.937
0.727 0.664 0.063
0.899 0.336 0.563


CdCu3, relaxed, DFT GGA-PBEsol; SG = Fm-3m; magnetic moment = 0.0 μB per cell; energy relative to the elements = 0.0932 eV per atom
1.0
0.000 2.987 2.987
2.987 0.000 2.987
2.987 2.987 0.000
Cd Cu
1 3
Direct
0.000 0.000 0.000
0.250 0.250 0.250
0.500 0.500 0.500
0.750 0.750 0.750


IrBrN2, relaxed, DFT GGA-PBEsol; SG = Fm-3m; uncorrected formation energy = 2204 meV per atom; magnetic moment = 0.0 μB per cell
1.0
0.000 2.791 2.791
2.791 0.000 2.791
2.791 2.791 0.000
Ir Br N
1 1 2
Direct
0.000 0.000 0.000
0.500 0.500 0.500
0.250 0.250 0.250
0.750 0.750 0.750


CaPdF4, relaxed, DFT GGA-PBEsol; SG = I4/mcm; uncorrected formation energy = -2553 meV per atom; magnetic moment = 0.0 μB per cell
1.0
-2.765 2.765 5.212
2.765 -2.765 5.212
2.765 2.765 -5.212
Ca Pd F
2 2 8
Direct
0.250 0.250 0.000
0.750 0.750 0.000
0.000 0.500 0.500
0.500 0.000 0.500
0.040 0.540 0.852
0.188 0.040 0.500
0.312 0.812 0.852
0.460 0.312 0.500
0.540 0.688 0.500
0.688 0.188 0.148
0.812 0.960 0.500
0.960 0.460 0.148


Ta2CrP, relaxed, DFT GGA-PBEsol; SG = Amm2; magnetic moment = 0.0 μB per cell; energy relative to the elements = -0.3897 eV per atom
1.0
3.880 0.000 0.000
0.000 1.615 4.640
0.000 -1.615 4.640
Ta Cr P
2 1 1
Direct
0.000 0.000 0.000
0.500 0.288 0.288
0.000 0.728 0.728
0.500 0.568 0.568


Sr2TlPb, relaxed, DFT GGA-PBEsol; SG = R-3m; magnetic moment = 0.0 μB per cell; energy relative to the elements = -0.3220 eV per atom
1.0
1.982 1.144 10.289
-1.982 1.144 10.289
0.000 -2.289 10.289
Sr Tl Pb
2 1 1
Direct
0.250 0.250 0.250
0.750 0.750 0.750
0.000 0.000 0.000
0.500 0.500 0.500